## MnRuNO2 (PBE+U)

Data for a geometry-optimized MnRuNO2 structure.

Cell lengths 3.985, 3.985, 3.724 Å; angles 90.00, 90.00, 90.00 degrees
Atoms (fractional coordinates):
O: 0.000 0.500 0.000
O: 0.500 0.000 0.000
Ru: 0.000 0.000 0.000
N: 0.000 0.000 0.500
Mn: 0.500 0.500 0.500

Its total DFT energy (no corrections) is -36.05 eV/f.u. The calculation puts the theoretical density at 5.672 g/cm³.